A plane-wave DFT calculation with PBE-GGA was carried out for an optimized crystal structure of Pu2AgPt9.

a = 4.121 Å, b = 4.121 Å, c = 12.216 Å
α = 90.00°, β = 90.00°, γ = 90.00°
Space group P4/mmm (No. 123)
Symmetry-distinct sites (fractional):
Pu 0.000 0.000 0.173
Ag 0.000 0.000 0.500
Pt 0.000 0.500 0.000
Pt 0.000 0.500 0.338
Pt 0.500 0.500 0.170
Pt 0.500 0.500 0.500

The value obtained for the formation energy is -0.453 eV per atom.